MgNi2O4 | PBE with a Hubbard U | optimized geometry

Lattice parameters (Å, degrees): 8.7202 2.9029 10.2206 90.00 90.00 90.00
Space group Pnma (No. 62)
Inequivalent atoms, fractional coordinates:
Mg  0.2479  0.2500  0.1623
Ni  0.0618  0.2500  0.3853
Ni  0.0850  0.2500  0.8994
O  0.0270  0.7500  0.7866
O  0.0975  0.2500  0.5744
O  0.1199  0.7500  0.0324
O  0.2133  0.7500  0.3217

Summary:
Total moment ... 2.00 μB/f.u.
Distance to the lowest polymorph of the same formula ... 64 meV per atom